1.
An optimized crystal structure of KScCu2. Source: Alexandria via LeMat-Bulk, functional PBE.

a = 8.876 Å, b = 8.876 Å, c = 8.876 Å
α = 23.57°, β = 23.57°, γ = 23.57°
Fractional positions:
Cu: 0.482 0.482 0.482
Cu: 0.018 0.018 0.018
K: 0.250 0.250 0.250
Sc: 0.750 0.750 0.750

As for the space group: R-3m (166). Its energy of formation from the pure elements is 352 meV/atom.



2.
An optimized crystal structure of NdSmSc2S4. Source: Alexandria via LeMat-Bulk, functional PBE.

a = 3.808 Å, b = 6.837 Å, c = 6.633 Å
α = 71.25°, β = 90.00°, γ = 90.00°
Fractional positions:
S: 0.000 0.220 0.262
S: 0.000 0.780 0.738
S: 0.500 0.222 0.757
S: 0.500 0.778 0.243
Nd: 0.500 0.500 0.000
Sc: 0.500 0.000 0.500
Sc: 0.000 0.000 0.000
Sm: 0.000 0.500 0.500

As for the space group: P2/m (10). As for the formation energy from raw total energies: -44.45 kcal/mol of atoms.



3.
An optimized crystal structure of MgOs2Se. Source: Alexandria via LeMat-Bulk, functional PBE.

a = 2.836 Å, b = 4.623 Å, c = 4.893 Å
α = 90.00°, β = 90.00°, γ = 90.00°
Fractional positions:
Os: 0.500 0.500 0.000
Os: 0.000 0.000 0.000
Mg: 0.000 0.500 0.500
Se: 0.500 0.000 0.500

As for the space group: Pmmm (47). As for the formation energy from raw total energies: 12.23 kcal/mol of atoms.